# 1
Pr2ZnRh PBE optimized geometry; size of the total moment = 0.00 μB per formula unit; ΔE_f = -0.45 eV per atom; crystal system = tetragonal; space group = P4/mmm, No. 123; energy = -20.00 eV for the cell shown
1.0
3.6636 0.0000 0.0000
0.0000 3.6636 0.0000
0.0000 0.0000 7.1832
Pr Zn Rh
2 1 1
direct
0.0000 0.0000 0.7626
0.0000 0.0000 0.2374
0.5000 0.5000 0.5000
0.5000 0.5000 0.0000

# 2
Rb3YF PBE optimized geometry; energy above the lowest structure with this stoichiometry = 0.0 meV per atom; size of the total moment = 1.42 μB per formula unit; crystal system = cubic; space group = Pm-3m, No. 221; energy = -13.70 eV for the cell shown
1.0
-2.2739 -5.5128 0.9213
1.6167 0.3034 5.8056
-5.3503 2.4347 1.3627
Y Rb F
1 3 1
direct
0.5000 0.5000 0.5000
0.0000 0.5000 0.0000
0.0000 0.0000 0.5000
0.5000 0.0000 0.0000
0.0000 0.0000 0.0000

# 3
TaMn2HIr PBE optimized geometry; energy above the lowest structure with this stoichiometry = 0.0 meV per atom; size of the total moment = 2.84 μB per formula unit; crystal system = tetragonal; space group = P4/mmm, No. 123; energy = -43.43 eV for the cell shown
1.0
3.7808 0.0000 0.0000
0.0000 3.7808 0.0000
0.0000 0.0000 4.0075
H Ir Mn Ta
1 1 2 1
direct
0.0000 0.0000 0.0000
0.5000 0.5000 0.5000
0.0000 0.5000 0.0000
0.5000 0.0000 0.0000
0.0000 0.0000 0.5000

# 4
SmTm4Ga15 PBE optimized geometry; size of the total moment = 0.00 μB per formula unit; ΔE_f = -0.52 eV per atom; crystal system = tetragonal; space group = P4/mmm, No. 123; energy = -78.41 eV for the cell shown
1.0
4.2633 0.0000 0.0000
0.0000 4.2633 0.0000
0.0000 0.0000 21.2340
Sm Tm Ga
1 4 15
direct
0.0000 0.0000 0.0000
0.0000 0.0000 0.2027
0.0000 0.0000 0.4008
0.0000 0.0000 0.5992
0.0000 0.0000 0.7973
0.5000 0.5000 0.0000
0.5000 0.5000 0.2012
0.5000 0.5000 0.4011
0.5000 0.5000 0.5989
0.5000 0.5000 0.7988
0.5000 0.0000 0.1036
0.5000 0.0000 0.3016
0.5000 0.0000 0.5000
0.5000 0.0000 0.6984
0.5000 0.0000 0.8964
0.0000 0.5000 0.1036
0.0000 0.5000 0.3016
0.0000 0.5000 0.5000
0.0000 0.5000 0.6984
0.0000 0.5000 0.8964

# 5
KY2Tl9 PBE optimized geometry; size of the total moment = 0.00 μB per formula unit; ΔE_f = -0.16 eV per atom; crystal system = tetragonal; space group = P4/mmm, No. 123; energy = -37.19 eV for the cell shown
1.0
4.8527 0.0000 0.0000
0.0000 4.8527 0.0000
0.0000 0.0000 14.6603
K Y Tl
1 2 9
direct
0.0000 0.0000 0.0000
0.0000 0.0000 0.3457
0.0000 0.0000 0.6543
0.5000 0.5000 0.0000
0.5000 0.5000 0.3353
0.5000 0.5000 0.6647
0.5000 0.0000 0.1786
0.5000 0.0000 0.5000
0.5000 0.0000 0.8214
0.0000 0.5000 0.1786
0.0000 0.5000 0.5000
0.0000 0.5000 0.8214

# 6
InCN3 PBE optimized geometry; size of the total moment = 0.00 μB per formula unit; crystal system = cubic; space group = Pm-3m, No. 221; energy = -25.45 eV for the cell shown
1.0
3.4947 0.0000 0.0000
0.0000 3.4947 0.0000
0.0000 0.0000 3.4947
C N In
1 3 1
direct
0.0000 0.0000 0.0000
0.0000 0.5000 0.0000
0.0000 0.0000 0.5000
0.5000 0.0000 0.0000
0.5000 0.5000 0.5000

no.,calculated density (g/cm³)
1,7.8
2,2.8
3,14.0
4,8.1
5,9.9
6,6.6